Here is crystalline KIn at its relaxed geometry from the Alexandria database. Energies are from PBE-GGA.

Cell: 7.946 7.946 7.946 Å, 90.00 90.00 90.00°
Space group F-43m (No. 216)
Inequivalent atoms, fractional coordinates:
K (0.000, 0.000, 0.000) [4 per cell]
In (0.250, 0.250, 0.750) [4 per cell]

* total energy: -2.68 eV per formula unit

Here is crystalline K5In at its relaxed geometry from the Alexandria database. Energies are from PBE-GGA.

Cell: 6.260 17.114 6.257 Å, 90.00 90.00 90.00°
Space group Cmmm (No. 65)
Inequivalent atoms, fractional coordinates:
K (0.000, 0.000, 0.000) [2 per cell]
K (0.000, 0.148, 0.500) [4 per cell]
K (0.000, 0.353, 0.000) [4 per cell]
In (0.000, 0.500, 0.500) [2 per cell]

* total energy: -8.02 eV per formula unit

Here is crystalline KIn2 at its relaxed geometry from the Alexandria database. Energies are from PBE-GGA.

Cell: 12.894 3.558 8.811 Å, 90.00 91.63 90.00°
Space group Cm (No. 8)
Inequivalent atoms, fractional coordinates:
K (0.000, 0.000, 0.000) [2 per cell]
K (0.248, 0.000, 0.705) [2 per cell]
In (0.010, 0.500, 0.629) [2 per cell]
In (0.132, 0.500, 0.346) [2 per cell]
In (0.267, 0.000, 0.132) [2 per cell]
In (0.393, 0.500, 0.382) [2 per cell]

* total energy: -6.71 eV per formula unit

Here is crystalline KIn4 at its relaxed geometry from the Alexandria database. Energies are from PBE-GGA.

Cell: 7.344 7.344 7.344 Å, 90.00 90.00 90.00°
Space group Im-3m (No. 229)
Inequivalent atoms, fractional coordinates:
K (0.000, 0.000, 0.000) [2 per cell]
In (0.250, 0.250, 0.250) [8 per cell]

* total energy: -9.26 eV per formula unit

Here is crystalline KIn2 at its relaxed geometry from the Alexandria database. Energies are from PBE-GGA.

Cell: 13.151 5.571 5.506 Å, 90.00 90.00 90.00°
Space group Cmcm (No. 63)
Inequivalent atoms, fractional coordinates:
K (0.000, 0.212, 0.250) [4 per cell]
In (0.193, 0.336, 0.750) [8 per cell]

* total energy: -6.83 eV per formula unit

Here is crystalline KIn at its relaxed geometry from the Alexandria database. Energies are from PBE-GGA.

Cell: 9.218 10.996 13.670 Å, 90.00 90.00 90.00°
Space group Fddd (No. 70, origin choice 2)
Inequivalent atoms, fractional coordinates:
K (0.125, 0.311, 0.125) [16 per cell]
In (0.033, 0.375, 0.875) [16 per cell]

* total energy: -3.66 eV per formula unit

Here is crystalline KIn2 at its relaxed geometry from the Alexandria database. Energies are from PBE-GGA.

Cell: 13.464 3.680 8.573 Å, 90.00 111.71 90.00°
Space group C2/m (No. 12)
Inequivalent atoms, fractional coordinates:
K (0.150, 0.000, 0.107) [4 per cell]
In (0.030, 0.500, 0.704) [4 per cell]
In (0.160, 0.000, 0.538) [4 per cell]

* total energy: -6.81 eV per formula unit

Here is crystalline KIn at its relaxed geometry from the Alexandria database. Energies are from PBE-GGA.

Cell: 4.830 17.316 6.014 Å, 90.00 90.00 90.00°
Space group Pmmn (No. 59, origin choice 2)
Inequivalent atoms, fractional coordinates:
K (0.250, 0.067, 0.248) [4 per cell]
K (0.250, 0.750, 0.756) [2 per cell]
In (0.250, 0.250, 0.744) [2 per cell]
In (0.250, 0.646, 0.255) [4 per cell]

* total energy: -3.97 eV per formula unit

Here is crystalline KIn6 at its relaxed geometry from the Alexandria database. Energies are from PBE-GGA.

Cell: 6.973 6.973 6.973 Å, 90.00 90.00 90.00°
Space group Pm-3m (No. 221)
Inequivalent atoms, fractional coordinates:
K (0.000, 0.000, 0.000) [1 per cell]
In (0.196, 0.500, 0.500) [6 per cell]

* total energy: -16.24 eV per formula unit

Here is crystalline K5In at its relaxed geometry from the Alexandria database. Energies are from PBE-GGA.

Cell: 7.7900 7.7900 7.4699 Å, 90.00 90.00 120.00°
Space group P6/mmm (No. 191)
Inequivalent atoms, fractional coordinates:
K (0.0000, 0.5000, 0.0000) [3 per cell]
K (0.3333, 0.6667, 0.5000) [2 per cell]
In (0.0000, 0.0000, 0.5000) [1 per cell]

* total energy: -6.79 eV per formula unit

Here is crystalline K2In at its relaxed geometry from the Alexandria database. Energies are from PBE-GGA.

Cell: 3.871 5.508 12.275 Å, 90.00 90.00 90.00°
Space group Immm (No. 71)
Inequivalent atoms, fractional coordinates:
K (0.000, 0.000, 0.153) [4 per cell]
In (0.000, 0.000, 0.500) [2 per cell]

* total energy: -4.79 eV per formula unit

Here is crystalline K2In at its relaxed geometry from the Alexandria database. Energies are from PBE-GGA.

Cell: 16.140 7.612 5.216 Å, 90.00 90.00 90.00°
Space group Cmcm (No. 63)
Inequivalent atoms, fractional coordinates:
K (0.136, 0.223, 0.250) [8 per cell]
In (0.000, 0.402, 0.750) [4 per cell]

* total energy: -4.98 eV per formula unit

Here is crystalline K3In5 at its relaxed geometry from the Alexandria database. Energies are from PBE-GGA.

Cell: 10.511 10.751 4.658 Å, 90.00 90.00 90.00°
Space group Cmmm (No. 65)
Inequivalent atoms, fractional coordinates:
K (0.000, 0.000, 0.000) [2 per cell]
K (0.248, 0.500, 0.500) [4 per cell]
In (0.000, 0.272, 0.500) [4 per cell]
In (0.000, 0.500, 0.000) [2 per cell]
In (0.250, 0.250, 0.000) [4 per cell]

* total energy: -16.75 eV per formula unit

Here is crystalline KIn at its relaxed geometry from the Alexandria database. Energies are from PBE-GGA.

Cell: 13.587 4.138 6.204 Å, 90.00 117.04 90.00°
Space group C2/m (No. 12)
Inequivalent atoms, fractional coordinates:
K (0.099, 0.000, 0.349) [4 per cell]
In (0.162, 0.500, 0.912) [4 per cell]

* total energy: -3.96 eV per formula unit

Here is crystalline KIn at its relaxed geometry from the Alexandria database. Energies are from PBE-GGA.

Cell: 4.636 4.636 3.521 Å, 90.00 90.00 90.00°
Space group P4/mmm (No. 123)
Inequivalent atoms, fractional coordinates:
K (0.000, 0.000, 0.000) [1 per cell]
In (0.500, 0.500, 0.500) [1 per cell]

* total energy: -3.68 eV per formula unit

Here is crystalline KIn2 at its relaxed geometry from the Alexandria database. Energies are from PBE-GGA.

Cell: 8.2554 8.2554 5.5771 Å, 90.00 90.00 120.00°
Space group P-62m (No. 189)
Inequivalent atoms, fractional coordinates:
K (0.0000, 0.0000, 0.0000) [1 per cell]
K (0.3333, 0.6667, 0.5000) [2 per cell]
In (0.0000, 0.2219, 0.5000) [3 per cell]
In (0.0000, 0.4260, 0.0000) [3 per cell]

* total energy: -6.16 eV per formula unit

Here is crystalline KIn at its relaxed geometry from the Alexandria database. Energies are from PBE-GGA.

Cell: 10.655 10.655 10.655 Å, 90.00 90.00 90.00°
Space group I-43m (No. 217)
Inequivalent atoms, fractional coordinates:
K (0.208, 0.208, 0.208) [8 per cell]
In (0.103, 0.103, 0.897) [8 per cell]

* total energy: -3.45 eV per formula unit

Here is crystalline KIn at its relaxed geometry from the Alexandria database. Energies are from PBE-GGA.

Cell: 3.6928 3.6928 12.9861 Å, 90.00 90.00 120.00°
Space group P6_3mc (No. 186)
Inequivalent atoms, fractional coordinates:
K (0.3333, 0.6667, 0.0000) [2 per cell]
In (0.3333, 0.6667, 0.7310) [2 per cell]

* total energy: -3.47 eV per formula unit

Here is crystalline KIn at its relaxed geometry from the Alexandria database. Energies are from PBE-GGA.

Cell: 4.866 5.327 5.674 Å, 90.00 90.00 90.00°
Space group Cmmm (No. 65)
Inequivalent atoms, fractional coordinates:
K (0.000, 0.000, 0.000) [2 per cell]
In (0.000, 0.500, 0.500) [2 per cell]

* total energy: -3.69 eV per formula unit

Here is crystalline KIn at its relaxed geometry from the Alexandria database. Energies are from PBE-GGA.

Cell: 6.4791 6.4791 18.7516 Å, 90.00 90.00 120.00°
Space group R-3m (No. 166, hexagonal axes)
Inequivalent atoms, fractional coordinates:
K (0.0000, 0.0000, 0.0000) [3 per cell]
K (0.0000, 0.0000, 0.3939) [6 per cell]
In (0.0000, 0.5000, 0.5000) [9 per cell]

* total energy: -3.97 eV per formula unit